Record 1
Material: YZnTe
Method: DFT, GGA-PBE
State: optimized geometry

Computed properties:
Excess energy over the best structure of this formula in the dataset = 0.00 eV/f.u.
Formation energy from raw total energies = -2.5 eV/f.u.
Crystal system = monoclinic
Spin magnetization = 0.0 μB per formula unit

Lattice parameters (Å, degrees): 7.9587 4.5936 10.2851 90.00 97.67 90.00
Last column: nearest neighbours and their distance in Å.
Space group C2/m (No. 12)
Inequivalent atoms, fractional coordinates:
1 Y 0.0296 0.0000 0.1732 x4  3 Te 3.01, 6 Zn 3.11-3.26
2 Zn 0.1689 0.5000 0.0129 x4  3 Zn 2.67
3 Te 0.2205 0.5000 0.3124 x4  3 Y 3.01, 1 Zn 3.05

---

Record 2
Material: Y4ZnTe
Method: DFT, GGA-PBE
State: optimized geometry

Computed properties:
Excess energy over the best structure of this formula in the dataset = 4.77 eV/f.u.
Formation energy from raw total energies = 1.4 eV/f.u.
Crystal system = cubic
Spin magnetization = 0.0 μB per formula unit

Lattice parameters (Å, degrees): 8.9606 8.9606 8.9606 90.00 90.00 90.00
Last column: nearest neighbours and their distance in Å.
Space group F-43m (No. 216)
Inequivalent atoms, fractional coordinates:
1 Y 0.1244 0.1244 0.1244 x16  6 Y 3.15-3.18
2 Zn 0.2500 0.2500 0.7500 x4  12 Y 3.71, 4 Te 3.88
3 Te 0.0000 0.0000 0.5000 x4  12 Y 3.72, 4 Zn 3.88

---

Record 3
Material: Y2ZnTe
Method: DFT, GGA-PBE
State: optimized geometry

Computed properties:
Excess energy over the best structure of this formula in the dataset = 0.41 eV/f.u.
Formation energy from raw total energies = -3.0 eV/f.u.
Crystal system = trigonal
Spin magnetization = 0.0 μB per formula unit

Lattice parameters (Å, degrees): 4.0551 4.0551 23.3355 90.00 90.00 120.00
Last column: nearest neighbours and their distance in Å.
Space group R3m (No. 160, hexagonal axes)
Inequivalent atoms, fractional coordinates:
1 Y 0.0000 0.0000 0.0000 x3  3 Zn 2.95, 3 Te 3.11
2 Y 0.0000 0.0000 0.1771 x3  3 Zn 2.99, 3 Te 3.13
3 Zn 0.0000 0.0000 0.5898 x3  6 Y 2.95-2.99
4 Te 0.0000 0.0000 0.4212 x3  6 Y 3.11-3.13

---

Record 4
Material: YZn4Te
Method: DFT, GGA-PBE
State: optimized geometry

Computed properties:
Formation energy from raw total energies = -0.8 eV/f.u.
Crystal system = cubic
Spin magnetization = 0.0 μB per formula unit

Lattice parameters (Å, degrees): 7.8282 7.8282 7.8282 90.00 90.00 90.00
Last column: nearest neighbours and their distance in Å.
Space group F-43m (No. 216)
Inequivalent atoms, fractional coordinates:
1 Y 0.0000 0.0000 0.0000 x4  12 Zn 3.24, 4 Te 3.39
2 Zn 0.1255 0.1255 0.6255 x16  6 Zn 2.76-2.78
3 Te 0.2500 0.2500 0.2500 x4  12 Zn 3.25, 4 Y 3.39

---

Record 5
Material: YZn2Te
Method: DFT, GGA-PBE
State: optimized geometry

Computed properties:
Formation energy from raw total energies = -1.8 eV/f.u.
Crystal system = tetragonal
Spin magnetization = 0.0 μB per formula unit

Lattice parameters (Å, degrees): 4.3198 4.3198 9.5200 90.00 90.00 90.00
Last column: nearest neighbours and their distance in Å.
Space group I-4m2 (No. 119)
Inequivalent atoms, fractional coordinates:
1 Y 0.0000 0.0000 0.0000 x2  8 Zn 3.05-3.21, 4 Te 3.21
2 Zn 0.0000 0.0000 0.5000 x2  4 Y 3.05, 4 Te 3.21, 4 Zn 3.21
3 Zn 0.0000 0.5000 0.2500 x2  4 Te 3.05, 4 Zn 3.21, 4 Y 3.21
4 Te 0.0000 0.5000 0.7500 x2  8 Zn 3.05-3.21, 4 Y 3.21

---

Record 6
Material: YZnTe4
Method: DFT, GGA-PBE
State: optimized geometry

Computed properties:
Formation energy from raw total energies = 0.7 eV/f.u.
Crystal system = cubic
Spin magnetization = 0.0 μB per formula unit

Lattice parameters (Å, degrees): 8.9819 8.9819 8.9819 90.00 90.00 90.00
Last column: nearest neighbours and their distance in Å.
Space group F-43m (No. 216)
Inequivalent atoms, fractional coordinates:
1 Y 0.0000 0.0000 0.0000 x4  12 Te 3.72, 4 Zn 3.89
2 Zn 0.2500 0.2500 0.7500 x4  12 Te 3.72, 4 Y 3.89
3 Te 0.1253 0.1253 0.3747 x16  6 Te 3.17-3.18

---

Record 7
Material: Y5Zn2Te
Method: DFT, GGA-PBE
State: optimized geometry

Computed properties:
Formation energy from raw total energies = -4.1 eV/f.u.
Crystal system = tetragonal
Spin magnetization = 0.0 μB per formula unit

Lattice parameters (Å, degrees): 8.1780 8.1780 12.6634 90.00 90.00 90.00
Last column: nearest neighbours and their distance in Å.
Space group I4/mcm (No. 140)
Inequivalent atoms, fractional coordinates:
1 Y 0.0000 0.0000 0.0000 x4  4 Zn 3.15, 2 Te 3.17
2 Y 0.1534 0.3466 0.1428 x16  3 Zn 2.98-3.02
3 Zn 0.1414 0.3586 0.5000 x8  8 Y 2.98-3.15, 1 Zn 3.27
4 Te 0.0000 0.0000 0.2500 x4  10 Y 3.17-3.38

---

Record 8
Material: Y2ZnTe
Method: DFT, GGA-PBE
State: optimized geometry

Computed properties:
Excess energy over the best structure of this formula in the dataset = 3.17 eV/f.u.
Formation energy from raw total energies = -0.2 eV/f.u.
Crystal system = cubic
Spin magnetization = 0.0 μB per formula unit

Lattice parameters (Å, degrees): 7.4356 7.4356 7.4356 90.00 90.00 90.00
Last column: nearest neighbours and their distance in Å.
Space group F-43m (No. 216)
Inequivalent atoms, fractional coordinates:
1 Y 0.0000 0.0000 0.0000 x4  4 Y 3.22, 4 Te 3.22
2 Y 0.2500 0.2500 0.2500 x4  4 Zn 3.22, 4 Y 3.22
3 Zn 0.0000 0.0000 0.5000 x4  4 Te 3.22, 4 Y 3.22
4 Te 0.2500 0.2500 0.7500 x4  4 Zn 3.22, 4 Y 3.22

---

Record 9
Material: Y4ZnTe3
Method: DFT, GGA-PBE
State: optimized geometry

Computed properties:
Formation energy from raw total energies = -8.7 eV/f.u.
Crystal system = orthorhombic
Spin magnetization = 0.0 μB per formula unit

Lattice parameters (Å, degrees): 8.9020 12.2531 4.2026 90.00 90.00 90.00
Last column: nearest neighbours and their distance in Å.
Space group Cmmm (No. 65)
Inequivalent atoms, fractional coordinates:
1 Y 0.0000 0.2371 0.0000 x4  1 Zn 2.90, 5 Te 3.06-3.22
2 Y 0.2311 0.0000 0.5000 x4  2 Zn 2.94, 4 Te 3.07-3.19
3 Zn 0.0000 0.0000 0.0000 x2  6 Y 2.90-2.94
4 Te 0.0000 0.5000 0.0000 x2  6 Y 3.19-3.22
5 Te 0.2500 0.2500 0.5000 x4  6 Y 3.06-3.07

---

Record 10
Material: Y2ZnTe
Method: DFT, GGA-PBE
State: optimized geometry

Computed properties:
Excess energy over the best structure of this formula in the dataset = 1.06 eV/f.u.
Formation energy from raw total energies = -2.3 eV/f.u.
Crystal system = tetragonal
Spin magnetization = 0.0 μB per formula unit

Lattice parameters (Å, degrees): 4.8879 4.8879 8.4330 90.00 90.00 90.00
Last column: nearest neighbours and their distance in Å.
Space group I4/mmm (No. 139)
Inequivalent atoms, fractional coordinates:
1 Y 0.0000 0.5000 0.2500 x4  4 Te 3.23, 4 Zn 3.23, 4 Y 3.46
2 Zn 0.0000 0.0000 0.0000 x2  8 Y 3.23, 4 Te 3.46
3 Te 0.0000 0.0000 0.5000 x2  8 Y 3.23, 4 Zn 3.46

---

Record 11
Material: Y4ZnTe
Method: DFT, GGA-PBE
State: optimized geometry

Computed properties:
Excess energy over the best structure of this formula in the dataset = 1.35 eV/f.u.
Formation energy from raw total energies = -2.0 eV/f.u.
Crystal system = monoclinic
Spin magnetization = 0.0 μB per formula unit

Lattice parameters (Å, degrees): 5.8691 8.5921 7.6349 90.00 103.94 90.00
Last column: nearest neighbours and their distance in Å.
Space group P2_1/m (No. 11)
Inequivalent atoms, fractional coordinates:
1 Y 0.0177 0.0530 0.2388 x4  2 Zn 2.95-3.00, 2 Te 3.08-3.10
2 Y 0.4179 0.2500 0.0010 x2  2 Zn 2.86-3.15
3 Y 0.4273 0.7500 0.4996 x2  2 Te 2.98-3.03, 1 Zn 3.22
4 Zn 0.1347 0.7500 0.0850 x2  6 Y 2.86-3.15, 1 Te 3.14
5 Te 0.1043 0.2500 0.5886 x2  7 Y 2.98-3.24, 1 Zn 3.14

---

Record 12
Material: YZnTe
Method: DFT, GGA-PBE
State: optimized geometry

Computed properties:
Excess energy over the best structure of this formula in the dataset = 0.79 eV/f.u.
Formation energy from raw total energies = -1.7 eV/f.u.
Crystal system = tetragonal
Spin magnetization = 0.6 μB per formula unit

Lattice parameters (Å, degrees): 3.8546 3.8546 10.0440 90.00 90.00 90.00
Last column: nearest neighbours and their distance in Å.
Space group I4mm (No. 107)
Inequivalent atoms, fractional coordinates:
1 Y 0.0000 0.0000 0.0000 x2  5 Zn 3.17-3.41, 5 Te 3.22-3.31
2 Zn 0.0000 0.0000 0.3391 x2  5 Y 3.17-3.41, 5 Te 3.21-3.33
3 Te 0.0000 0.0000 0.6703 x2  5 Zn 3.21-3.33, 5 Y 3.22-3.31

---

Record 13
Material: YZn2Te
Method: DFT, GGA-PBE
State: optimized geometry

Computed properties:
Formation energy from raw total energies = -1.3 eV/f.u.
Crystal system = tetragonal
Spin magnetization = 0.0 μB per formula unit

Lattice parameters (Å, degrees): 8.0994 8.0994 5.9589 90.00 90.00 90.00
Last column: nearest neighbours and their distance in Å.
Space group I-42d (No. 122)
Inequivalent atoms, fractional coordinates:
1 Y 0.0000 0.0000 0.0000 x4  2 Te 2.98, 4 Zn 3.06
2 Zn 0.2328 0.7500 0.6250 x8  2 Te 2.87, 2 Zn 2.99, 2 Y 3.06
3 Te 0.0000 0.0000 0.5000 x4  4 Zn 2.87, 2 Y 2.98

---

Record 14
Material: YZn2Te
Method: DFT, GGA-PBE
State: optimized geometry

Computed properties:
Formation energy from raw total energies = -1.6 eV/f.u.
Crystal system = tetragonal
Spin magnetization = 0.0 μB per formula unit

Lattice parameters (Å, degrees): 4.1762 4.1762 10.9129 90.00 90.00 90.00
Last column: nearest neighbours and their distance in Å.
Space group I4/mmm (No. 139)
Inequivalent atoms, fractional coordinates:
1 Y 0.0000 0.0000 0.0000 x2  4 Te 2.95
2 Zn 0.0000 0.5000 0.2500 x4  4 Zn 2.95
3 Te 0.0000 0.0000 0.5000 x2  4 Y 2.95